This record from the Alexandria database describes a geometry-optimized Ge2B2O7 structure. The functional is PBE.

Computed properties:
- E_form (uncorrected): -1.82 eV/atom
- Final energy: -77.3 eV/cell

a = 4.2889 Å, b = 4.8965 Å, c = 4.8965 Å
α = 104.07°, β = 98.92°, γ = 98.92°
Closest atoms and distances in Å follow each position.
Element x y z (fractional)
Ge 0.0000 0.3107 0.6893  6 O 1.87-2.08
Ge 0.0000 0.6893 0.3107  6 O 1.87-2.08
B 0.4123 0.2028 0.2028  4 O 1.37-1.52
B 0.5877 0.7972 0.7972  4 O 1.37-1.52
O 0.7829 0.9288 0.6108  1 B 1.52
O 0.2171 0.3892 0.0712  1 B 1.52
O 0.2171 0.0712 0.3892  1 B 1.52
O 0.7829 0.6108 0.9288  1 B 1.52
O 0.5000 0.0000 0.0000  2 B 1.37
O 0.2783 0.6090 0.6090  1 B 1.51
O 0.7217 0.3910 0.3910  1 B 1.51